(1)
The following is a PBE-GGA calculation of an optimized crystal structure of MnAgAu2, from Alexandria via LeMat-Bulk.

Values from the calculation:
- Raw total energy: -4.6270 eV/atom
- Formation energy from the elements: 2 kJ per mole of atoms

a b c (Å): 4.9278 4.9278 2.9646
angles (deg): 90.03 90.03 106.04
With the nearest neighbours (Å) after each atom.
Atoms (fractional coordinates):
Mn (0.5000, 0.0000, 0.5000)  8 Au 2.87-2.88, 2 Ag 2.96, 2 Mn 2.96
Au (0.0000, 0.0000, 0.0000)  4 Ag 2.87-2.88, 4 Mn 2.87-2.88, 4 Au 2.96
Au (0.5000, 0.5000, 0.0000)  4 Mn 2.87-2.88, 4 Ag 2.87-2.88, 4 Au 2.96
Ag (0.0000, 0.5000, 0.5000)  8 Au 2.87-2.88, 2 Mn 2.96, 2 Ag 2.96

(2)
The following is a PBE-GGA calculation of an optimized crystal structure of TlFe3Si, from Alexandria via LeMat-Bulk.

Values from the calculation:
- Raw total energy: -6.0579 eV/atom
- Raw formation energy: 578 meV per atom
- ΔE to the lowest computed polymorph: 0 meV/atom

a b c (Å): 4.3064 4.3064 4.3064
angles (deg): 90.00 90.00 90.00
With the nearest neighbours (Å) after each atom.
Atoms (fractional coordinates):
Tl (0.5000, 0.5000, 0.5000)  12 Fe 3.05
Si (0.0000, 0.0000, 0.0000)  6 Fe 2.15
Fe (0.0000, 0.5000, 0.0000)  2 Si 2.15
Fe (0.0000, 0.0000, 0.5000)  2 Si 2.15
Fe (0.5000, 0.0000, 0.0000)  2 Si 2.15

(3)
The following is a PBE-GGA calculation of an optimized crystal structure of KAgSnPt, from Alexandria via LeMat-Bulk.

Values from the calculation:
- Raw total energy: -3.7512 eV/atom
- Formation energy from the elements: -24 kJ per mole of atoms

a b c (Å): 4.6850 4.7027 6.5590
angles (deg): 111.20 90.00 119.88
With the nearest neighbours (Å) after each atom.
Atoms (fractional coordinates):
K (0.6207, 0.2413, 0.5025)  1 Pt 3.32, 4 Ag 3.45-3.71
Ag (0.8128, 0.6257, 0.0806)  3 Pt 2.83, 3 Sn 2.84
Sn (0.0984, 0.1968, 0.9391)  3 Pt 2.71-2.72, 3 Ag 2.84
Pt (0.4344, 0.8688, 0.9452)  3 Sn 2.71-2.72, 3 Ag 2.83

(4)
The following is a PBE-GGA calculation of an optimized crystal structure of ReP2PtPb, from Alexandria via LeMat-Bulk.

Values from the calculation:
- Raw total energy: -4.1271 eV/atom
- Formation energy from the elements: 239 kJ per mole of atoms

a b c (Å): 5.0064 5.0064 5.2067
angles (deg): 90.00 90.00 90.00
With the nearest neighbours (Å) after each atom.
Atoms (fractional coordinates):
Pb (0.0000, 0.0000, 0.0000)  4 P 2.50, 2 Re 2.60
Re (0.0000, 0.0000, 0.5000)  2 Pb 2.60
Pt (0.5000, 0.5000, 0.5000)  4 Re 3.54, 8 P 3.61
P (0.0000, 0.5000, 0.0000)  2 Pb 2.50
P (0.5000, 0.0000, 0.0000)  2 Pb 2.50